LuTi2Cr after structural relaxation. Source: Alexandria, functional GGA-PBE. Values from VASP.

Values from the calculation:
Magnetization (μB per cell): 0.0
Uncorrected energy (eV per atom): -7.343
Formation enthalpy at 0 K (kJ/mol of atoms): 14

Quantum ESPRESSO input file:
```
&SYSTEM
  ibrav = 0, nat = 4, ntyp = 3
/
ATOMIC_SPECIES
Ti 47.87 Ti.upf
Lu 174.97 Lu.upf
Cr 52.00 Cr.upf
CELL_PARAMETERS angstrom
-0.6214 2.9638 0.8829
-3.0692 -0.7014 0.1945
0.8819 -1.9096 7.0311
ATOMIC_POSITIONS crystal
Ti 0.0000 0.0000 0.8137
Ti 0.0000 0.0000 0.1863
Lu 0.5000 0.5000 0.5000
Cr 0.5000 0.5000 0.0000
```